Computed, not measured: crystalline DyBiO3 at its relaxed geometry at the PBE level of DFT.

abc: 4.343 4.343 4.343
angles: 90.00 90.00 90.00
Element x y z (fractional)
Dy  0.000  0.000  0.000
Bi  0.500  0.500  0.500
O  0.000  0.000  0.500
O  0.000  0.500  0.000
O  0.500  0.000  0.000

Values from the calculation:
For the energy relative to the elements, uncorrected, the calculation gives -1737 meV per atom. The density of states at the Fermi level is 0.38 states/eV per cell. Its total energy is -6.41 eV per atom.

---

Computed, not measured: crystalline Y5CdAg at its relaxed geometry at the PBE level of DFT.

abc: 6.517 6.517 9.937
angles: 92.58 92.58 91.09
Element x y z (fractional)
Y  0.064  0.613  0.339
Y  0.144  0.856  0.750
Y  0.233  0.410  0.001
Y  0.387  0.936  0.161
Y  0.410  0.233  0.501
Y  0.590  0.767  0.499
Y  0.613  0.064  0.839
Y  0.767  0.590  0.999
Y  0.856  0.144  0.250
Y  0.936  0.387  0.661
Cd  0.474  0.526  0.750
Cd  0.526  0.474  0.250
Ag  0.000  0.000  0.000
Ag  0.000  0.000  0.500

Values from the calculation:
The formation energy is -18 meV/atom. The density of states at the Fermi level is 18.00 states/eV per cell. Its total energy is -5.17 eV per atom.

---

Computed, not measured: crystalline Zr2OsBr at its relaxed geometry at the PBE level of DFT.

abc: 3.316 3.517 15.323
angles: 90.00 90.00 90.00
Element x y z (fractional)
Zr  0.000  0.000  0.000
Zr  0.000  0.500  0.292
Zr  0.500  0.000  0.792
Zr  0.500  0.500  0.500
Os  0.000  0.000  0.420
Os  0.500  0.500  0.920
Br  0.000  0.500  0.672
Br  0.500  0.000  0.172

Values from the calculation:
The energy above the most stable polymorph in this dataset is 197 meV per atom. For the energy relative to the elements, uncorrected, the calculation gives -295 meV per atom. The density of states at the Fermi level is 3.12 states/eV per cell. Its total energy is -7.79 eV per atom.